1.
DFT (SCAN) results for SiSnO3 at its PBEsol-relaxed geometry.

The structure in POSCAR format:
```
SiSnO3
1.0
6.954 0.000 0.000
0.000 11.357 0.056
0.000 -4.785 11.116
Si O Sn
12 36 12
Cartesian
1.229 0.133 5.075
0.893 -1.824 7.295
0.893 0.324 9.406
4.121 10.415 1.214
2.833 -3.843 9.957
6.061 6.247 1.765
5.725 6.439 6.097
1.229 3.153 0.511
5.725 3.419 10.661
4.121 4.228 4.427
6.061 8.396 3.877
2.833 2.344 6.744
4.023 1.528 7.446
2.543 -0.598 4.433
2.115 1.299 9.868
6.580 7.490 5.156
3.477 0.000 0.000
1.937 3.246 7.807
0.353 5.428 2.422
6.601 1.144 8.749
4.023 -3.028 9.255
1.702 1.393 6.006
2.930 9.599 1.916
5.017 3.326 3.365
3.477 3.286 5.586
0.374 -0.918 6.016
4.411 7.170 6.739
2.930 5.044 3.726
1.937 6.612 8.950
6.580 7.153 0.486
4.839 9.370 4.338
6.734 3.946 9.490
1.702 -2.893 10.695
0.220 2.626 1.681
5.017 -0.040 2.221
5.252 5.178 5.165
1.557 -0.750 8.351
0.374 -0.581 10.686
5.252 9.465 0.476
0.220 0.660 3.905
4.411 2.688 10.019
2.543 3.884 1.153
6.601 -2.643 7.952
2.115 -2.798 6.833
5.396 7.322 2.821
4.839 5.273 1.304
0.353 9.215 3.219
6.734 5.912 7.267
2.583 8.705 3.755
2.231 3.427 10.044
6.676 6.837 9.218
4.723 0.141 4.458
4.723 3.145 1.128
4.371 0.634 9.285
0.278 3.551 3.633
0.278 -0.265 1.953
4.371 -2.133 7.416
2.231 6.431 6.713
2.583 5.938 1.886
6.676 3.021 7.539
```

Raw formation energy: -2.335 eV/atom


2.
DFT (SCAN) results for BaZr3Cl at its PBEsol-relaxed geometry.

The structure in POSCAR format:
```
BaZr3Cl
1.0
-3.676 3.119 1.231
-3.125 -2.526 -2.932
-1.213 -2.940 3.826
Zr Cl Ba
3 1 1
Cartesian
-1.838 1.559 0.615
-1.563 -1.263 -1.466
-0.607 -1.470 1.913
0.000 0.000 0.000
-4.007 -1.174 1.062
```

Raw formation energy: 0.164 eV/atom


3.
DFT (SCAN) results for CdCo3Pt at its PBEsol-relaxed geometry.

The structure in POSCAR format:
```
CdCo3Pt
1.0
4.540 0.000 0.000
0.000 4.540 0.000
0.000 0.000 4.540
Cd Co Pt
1 3 1
Cartesian
2.270 2.270 2.270
2.270 0.000 0.000
0.000 2.270 0.000
0.000 0.000 2.270
0.000 0.000 0.000
```

Energy of formation: 484 kJ/mol of formula units


4.
DFT (SCAN) results for ZrHgOs at its PBEsol-relaxed geometry.

The structure in POSCAR format:
```
ZrHgOs
1.0
4.455 0.000 0.000
2.228 3.858 0.000
2.228 1.286 3.638
Zr Os Hg
1 1 1
Cartesian
4.455 2.572 1.819
0.000 0.000 0.000
2.228 1.286 0.909
```

Energy of formation: 192 kJ/mol of formula units


5.
DFT (SCAN) results for Fe3Si at its PBEsol-relaxed geometry.

The structure in POSCAR format:
```
Fe3Si
1.0
2.792 0.000 0.000
0.000 2.792 0.000
0.000 0.000 5.414
Fe Si
3 1
Cartesian
0.000 0.000 1.383
1.396 1.396 0.000
0.000 0.000 4.031
1.396 1.396 2.707
```

Raw formation energy: -0.195 eV/atom


6.
DFT (SCAN) results for TlVTeO5 at its PBEsol-relaxed geometry.

The structure in POSCAR format:
```
TlVTeO5
1.0
7.236 0.000 0.000
0.000 7.742 0.000
0.000 0.000 8.520
O Te V Tl
20 4 4 4
Cartesian
5.272 0.119 5.815
2.893 4.982 0.427
5.582 3.990 1.555
1.964 3.990 2.705
1.880 2.690 7.897
1.654 0.119 6.965
0.977 3.492 5.416
3.193 1.879 5.740
5.356 6.561 0.623
1.738 6.561 3.637
4.595 3.492 7.364
2.640 7.363 1.156
4.043 5.750 2.780
0.725 1.111 4.687
0.425 5.750 1.480
4.343 1.111 8.093
6.258 7.363 3.104
6.811 1.879 7.040
5.498 2.690 4.883
6.511 4.982 3.833
0.090 6.973 4.613
3.528 3.102 0.353
7.146 3.102 3.907
3.708 6.973 8.167
1.975 5.558 2.075
5.593 5.558 2.185
5.261 1.687 6.445
1.643 1.687 6.335
3.790 0.732 3.372
0.172 0.732 0.888
3.446 4.603 5.148
7.064 4.603 7.631
```

Raw formation energy: -1.734 eV/atom


7.
DFT (SCAN) results for BaWOF2 at its PBEsol-relaxed geometry.

The structure in POSCAR format:
```
BaWOF2
1.0
4.804 0.000 0.000
0.000 4.804 0.000
0.000 0.000 4.974
O W Ba F
1 1 1 2
Cartesian
0.000 0.000 2.487
2.402 2.402 2.487
0.000 0.000 0.000
2.402 0.000 0.000
0.000 2.402 0.000
```

Raw formation energy: -0.406 eV/atom


8.
DFT (SCAN) results for Ba3GdIrRuO9 at its PBEsol-relaxed geometry.

The structure in POSCAR format:
```
Ba3GdIrRuO9
1.0
5.878 0.000 0.000
-2.939 5.091 0.000
0.000 0.000 14.558
Ba O Gd Ir Ru
6 18 2 2 2
Cartesian
2.939 1.697 1.358
2.939 1.697 5.874
0.000 3.394 8.637
0.000 3.394 13.153
0.000 0.000 3.643
0.000 0.000 10.923
1.561 0.901 13.293
1.567 0.905 8.586
2.939 0.093 10.900
-1.389 2.592 3.621
1.550 2.499 10.900
1.372 4.186 1.307
2.939 3.281 8.586
0.000 1.810 1.307
0.000 1.802 6.013
1.389 2.592 3.621
-1.372 4.186 1.307
2.939 3.289 13.293
4.311 0.905 8.586
0.000 4.998 3.621
-1.378 4.190 6.013
1.378 4.190 6.013
4.317 0.901 13.293
4.328 2.499 10.900
0.000 0.000 14.556
0.000 0.000 7.277
0.000 3.394 4.872
2.939 1.697 12.151
0.000 3.394 2.390
2.939 1.697 9.669
```

Raw formation energy: -2.409 eV/atom


Total moment / μB/f.u.: 0.00, 0.00, 6.93, 0.00, 5.60, 0.00, 4.00, 4.97